This record from the Alexandria database describes a relaxed structure of SrLi2Mn. The functional is GGA-PBE.

Unit cell a=5.2013 b=5.2013 c=5.2013 alpha=60.00 beta=60.00 gamma=60.00
Last column: nearest neighbours and their distance in Å.
Positions (direct):
Sr 0.5000 0.5000 0.5000  8 Li 3.19
Mn 0.0000 0.0000 0.0000  8 Li 3.19
Li 0.2500 0.2500 0.2500  4 Sr 3.19, 4 Mn 3.19
Li 0.7500 0.7500 0.7500  4 Sr 3.19, 4 Mn 3.19

Output
* offset from the most stable computed form: 0.021 eV/atom
* formation energy from the elements: 379 meV per atom
* total magnetic moment: 0.9198 μB/atom
* SG: Fm-3m (225)
* ρ: 2.61 g/cm³